ZnRePb2 after structural relaxation. Source: the Alexandria database, functional PBE-GGA. Values from VASP.

Computed properties:
- Formation enthalpy at 0 K: 0.649 eV per atom
- D(E_F): 0.722 states/eV/atom
- Total energy: -18.5 eV per formula unit

```
&SYSTEM
  ibrav = 0, nat = 8, ntyp = 3
/
ATOMIC_SPECIES
Pb 207.20 Pb.upf
Re 186.21 Re.upf
Zn 65.41 Zn.upf
CELL_PARAMETERS angstrom
10.154 0.000 0.000
0.000 10.154 0.000
5.077 5.077 2.535
ATOMIC_POSITIONS crystal
Pb 0.874 0.125 0.250
Pb 0.876 0.625 0.250
Pb 0.375 0.126 0.750
Pb 0.875 0.124 0.750
Re 0.000 0.000 0.000
Re 0.750 0.250 0.500
Zn 0.500 0.500 0.000
Zn 0.250 0.750 0.500
```